Entry a
## ThGePd3 (PBE)

Data for ThGePd3 after structural relaxation.

The crystal system is orthorhombic. Its symmetry is Cmcm (63). The mass density is 10.8 g/cm3.

Lattice parameters (Å, degrees): 6.330 6.330 5.927 90.00 90.00 53.87
Sites, in units of the cell vectors:
Th  0.015  0.217  0.052
Th  0.546  0.748  0.552
Ge  0.894  0.096  0.552
Ge  0.667  0.869  0.052
Pd  0.109  0.312  0.552
Pd  0.451  0.654  0.052
Pd  0.517  0.247  0.802
Pd  0.517  0.247  0.302
Pd  0.044  0.719  0.302
Pd  0.044  0.719  0.802

Entry b
## ThGePd3 (PBE)

Data for ThGePd3 after structural relaxation.

The crystal system is tetragonal. Its symmetry is I4mm (107). The mass density is 10.8 g/cm3.

Lattice parameters (Å, degrees): 4.108 4.110 6.379 71.21 71.21 89.97
Sites, in units of the cell vectors:
Th  0.389  0.192  0.928
Ge  0.022  0.825  0.661
Pd  0.645  0.949  0.416
Pd  0.145  0.448  0.416
Pd  0.808  0.611  0.091

Stability ranking, top entry: entry a; the second entry is 0.5 kJ/mol of atoms less favorable.

Entry a
## Ti2GePd2 (PBE)

Data for Ti2GePd2 after structural relaxation.

The crystal system is tetragonal. Its symmetry is P4/mbm (127). The mass density is 7.7 g/cm3.

Lattice parameters (Å, degrees): 7.297 7.297 3.074 90.00 90.00 90.00
Sites, in units of the cell vectors:
Ge  0.000  0.000  0.000
Ge  0.500  0.500  0.000
Pd  0.370  0.870  0.000
Pd  0.870  0.630  0.000
Pd  0.630  0.130  0.000
Pd  0.130  0.370  0.000
Ti  0.171  0.671  0.500
Ti  0.671  0.829  0.500
Ti  0.829  0.329  0.500
Ti  0.329  0.171  0.500

Entry b
## Ti2GePd2 (PBE)

Data for Ti2GePd2 after structural relaxation.

The crystal system is tetragonal. Its symmetry is I4/mmm (139). The mass density is 7.2 g/cm3.

Lattice parameters (Å, degrees): 3.704 3.704 6.892 74.41 74.41 90.00
Last column: magnetic moment on the atom in μB.
Sites, in units of the cell vectors:
Ge  0.000  0.000  0.000  -0.03
Pd  0.750  0.250  0.500  0.02
Pd  0.250  0.750  0.500  0.02
Ti  0.400  0.400  0.199  0.71
Ti  0.600  0.600  0.801  0.71

Entry c
## Ti2GePd2 (PBE)

Data for Ti2GePd2 after structural relaxation.

The crystal system is tetragonal. Its symmetry is P4/mbm (127). The mass density is 7.5 g/cm3.

Lattice parameters (Å, degrees): 7.405 7.405 3.072 90.00 90.00 90.00
Sites, in units of the cell vectors:
Ge  0.000  0.000  0.000
Ge  0.500  0.500  0.000
Pd  0.131  0.631  0.500
Pd  0.631  0.869  0.500
Pd  0.869  0.369  0.500
Pd  0.369  0.131  0.500
Ti  0.333  0.833  0.000
Ti  0.833  0.667  0.000
Ti  0.667  0.167  0.000
Ti  0.167  0.333  0.000

Stability ranking, top entry: entry a; the second entry is 11.1 kJ/mol of atoms less favorable.

Entry a
## TiGePd6 (PBE)

Data for TiGePd6 after structural relaxation.

The crystal system is triclinic. Its symmetry is P-1 (2). The mass density is 9.9 g/cm3.

Lattice parameters (Å, degrees): 7.378 6.817 5.038 47.16 43.23 57.53
Sites, in units of the cell vectors:
Ti  0.500  0.500  0.500
Ge  0.000  0.000  0.000
Pd  0.046  0.434  0.763
Pd  0.756  0.961  0.715
Pd  0.569  0.243  0.145
Pd  0.244  0.039  0.285
Pd  0.954  0.566  0.237
Pd  0.431  0.757  0.855

Entry b
## TiGePd6 (PBE)

Data for TiGePd6 after structural relaxation.

The crystal system is orthorhombic. Its symmetry is Fmmm (69). The mass density is 10.4 g/cm3.

Lattice parameters (Å, degrees): 6.802 6.290 4.761 74.54 63.04 42.42
Sites, in units of the cell vectors:
Ti  0.500  0.500  0.500
Ge  0.000  0.000  0.000
Pd  0.621  0.621  0.879
Pd  0.879  0.879  0.621
Pd  0.252  0.252  0.748
Pd  0.121  0.121  0.379
Pd  0.379  0.379  0.121
Pd  0.748  0.748  0.252

Stability ranking, top entry: entry b; the second entry is 6.0 kJ/mol of atoms less favorable.

Entry a
## TlGePd (PBE)

Data for TlGePd after structural relaxation.

The crystal system is orthorhombic. Its symmetry is Amm2 (38). The mass density is 10.2 g/cm3.

Lattice parameters (Å, degrees): 3.398 3.406 12.463 90.00 90.00 119.93
Sites, in units of the cell vectors:
Pd  0.447  0.894  0.000
Pd  0.442  0.885  0.500
Ge  0.775  0.550  0.364
Ge  0.775  0.550  0.636
Tl  0.113  0.227  0.833
Tl  0.113  0.227  0.167

Entry b
## TlGePd (PBE)

Data for TlGePd after structural relaxation.

The crystal system is trigonal. Its symmetry is P3m1 (156). The mass density is 10.2 g/cm3.

Lattice parameters (Å, degrees): 6.396 3.358 3.358 120.00 90.00 90.00
Sites, in units of the cell vectors:
Tl  0.679  0.333  0.667
Ge  0.287  0.000  0.000
Pd  0.035  0.667  0.333

Stability ranking, top entry: entry b; the second entry is 6.0 kJ/mol of atoms less favorable.

Entry a
## TlGe2Pd (PBE)

Data for TlGe2Pd after structural relaxation.

The crystal system is trigonal. Its symmetry is R-3m (166). The mass density is 9.0 g/cm3.

Lattice parameters (Å, degrees): 3.125 3.125 10.145 81.14 81.14 60.00
Sites, in units of the cell vectors:
Tl  0.000  0.000  0.000
Ge  0.102  0.102  0.695
Ge  0.898  0.898  0.305
Pd  0.500  0.500  0.500

Entry b
## TlGe2Pd (PBE)

Data for TlGe2Pd after structural relaxation.

The crystal system is tetragonal. Its symmetry is I-42d (122). The mass density is 8.4 g/cm3.

Lattice parameters (Å, degrees): 4.589 4.589 9.140 75.46 75.46 90.00
Sites, in units of the cell vectors:
Tl  0.000  0.000  0.000
Tl  0.750  0.250  0.500
Ge  0.530  0.125  0.250
Ge  0.220  0.625  0.250
Ge  0.375  0.470  0.750
Ge  0.875  0.780  0.750
Pd  0.500  0.500  0.000
Pd  0.250  0.750  0.500

Stability ranking, top entry: entry a; the second entry is 7.7 kJ/mol of atoms less favorable.

Entry a
## Tl3GePd (PBE)

Data for Tl3GePd after structural relaxation.

The crystal system is cubic. Its symmetry is Pm-3m (221). The mass density is 8.7 g/cm3.

Lattice parameters (Å, degrees): 5.320 5.320 5.320 90.00 90.00 90.00
Sites, in units of the cell vectors:
Tl  0.000  0.500  0.000
Tl  0.000  0.000  0.500
Tl  0.500  0.000  0.000
Ge  0.500  0.500  0.500
Pd  0.000  0.000  0.000

Entry b
## Tl3GePd (PBE)

Data for Tl3GePd after structural relaxation.

The crystal system is cubic. Its symmetry is Pm-3m (221). The mass density is 8.3 g/cm3.

Lattice parameters (Å, degrees): 5.422 5.422 5.422 90.00 90.00 90.00
Sites, in units of the cell vectors:
Tl  0.000  0.500  0.000
Tl  0.000  0.000  0.500
Tl  0.500  0.000  0.000
Ge  0.000  0.000  0.000
Pd  0.500  0.500  0.500

Stability ranking, top entry: entry a; the second entry is 30.7 kJ/mol of atoms less favorable.

Entry a
## TlGe2Pd7 (PBE)

Data for TlGe2Pd7 after structural relaxation.

The crystal system is orthorhombic. Its symmetry is Cmmm (65). The mass density is 9.1 g/cm3.

Lattice parameters (Å, degrees): 4.483 7.078 7.078 117.42 90.00 90.00
Sites, in units of the cell vectors:
Tl  0.000  0.000  0.000
Ge  0.500  0.699  0.301
Ge  0.500  0.301  0.699
Pd  0.000  0.773  0.227
Pd  0.000  0.227  0.773
Pd  0.500  0.065  0.312
Pd  0.500  0.935  0.688
Pd  0.500  0.312  0.065
Pd  0.500  0.688  0.935
Pd  0.500  0.500  0.500

Entry b
## TlGe2Pd7 (PBE)

Data for TlGe2Pd7 after structural relaxation.

The crystal system is tetragonal. Its symmetry is I4/mmm (139). The mass density is 10.8 g/cm3.

Lattice parameters (Å, degrees): 4.091 4.091 10.495 101.24 101.24 90.00
Sites, in units of the cell vectors:
Tl  0.000  0.000  0.000
Ge  0.674  0.674  0.349
Ge  0.326  0.326  0.651
Pd  0.103  0.603  0.207
Pd  0.397  0.897  0.793
Pd  0.603  0.103  0.207
Pd  0.500  0.500  0.000
Pd  0.750  0.250  0.500
Pd  0.897  0.397  0.793
Pd  0.250  0.750  0.500

Stability ranking, top entry: entry b; the second entry is 29.9 kJ/mol of atoms less favorable.

Entry a
## TlGePd4 (PBE)

Data for TlGePd4 after structural relaxation.

The crystal system is monoclinic. Its symmetry is P2_1/c (14). The mass density is 11.1 g/cm3.

Lattice parameters (Å, degrees): 4.595 5.605 8.181 90.00 89.85 90.00
Sites, in units of the cell vectors:
Tl  0.000  0.000  0.000
Tl  0.500  0.500  0.000
Ge  0.500  0.000  0.500
Ge  0.000  0.500  0.500
Pd  0.999  0.599  0.203
Pd  0.501  0.099  0.797
Pd  0.498  0.391  0.345
Pd  0.002  0.891  0.655
Pd  0.001  0.401  0.797
Pd  0.499  0.901  0.203
Pd  0.502  0.609  0.655
Pd  0.998  0.109  0.345

Entry b
## TlGePd4 (PBE)

Data for TlGePd4 after structural relaxation.

The crystal system is orthorhombic. Its symmetry is Pnma (62). The mass density is 11.4 g/cm3.

Lattice parameters (Å, degrees): 3.550 7.021 16.439 90.00 90.00 90.00
Sites, in units of the cell vectors:
Tl  0.750  0.745  0.808
Tl  0.250  0.255  0.192
Tl  0.250  0.755  0.308
Tl  0.750  0.245  0.692
Ge  0.750  0.249  0.446
Ge  0.250  0.751  0.554
Ge  0.250  0.251  0.946
Ge  0.750  0.749  0.054
Pd  0.750  0.872  0.646
Pd  0.250  0.128  0.354
Pd  0.250  0.628  0.146
Pd  0.750  0.372  0.854
Pd  0.750  0.869  0.452
Pd  0.250  0.131  0.548
Pd  0.250  0.631  0.952
Pd  0.750  0.369  0.048
Pd  0.750  0.993  0.935
Pd  0.250  0.007  0.065
Pd  0.250  0.507  0.435
Pd  0.750  0.493  0.565
Pd  0.750  0.937  0.200
Pd  0.250  0.063  0.800
Pd  0.250  0.563  0.700
Pd  0.750  0.437  0.300

Stability ranking, top entry: entry b; the second entry is 6.8 kJ/mol of atoms less favorable.